ThZn9Pt2 after structural relaxation. Source: Alexandria, functional GGA-PBE.

Lattice parameters (Å, degrees): 10.656 10.656 6.896 90.00 90.00 90.00
Space group I4_1/amd (No. 141, origin choice 2)
Symmetry-distinct sites (fractional):
Th 0.000 0.250 0.375 [4 per cell]
Zn 0.000 0.250 0.875 [4 per cell]
Zn 0.122 0.044 0.677 [32 per cell]
Pt 0.000 0.000 0.000 [8 per cell]

Total DFT energy (no corrections) ... -143.02 eV/cell

ThZn6Pt6 after structural relaxation. Source: Alexandria, functional GGA-PBE.

Lattice parameters (Å, degrees): 5.278 8.866 8.930 90.00 90.00 90.00
Space group Immm (No. 71)
Symmetry-distinct sites (fractional):
Th 0.000 0.000 0.000 [2 per cell]
Zn 0.000 0.266 0.500 [4 per cell]
Zn 0.250 0.250 0.250 [8 per cell]
Pt 0.000 0.000 0.339 [4 per cell]
Pt 0.000 0.337 0.000 [4 per cell]
Pt 0.000 0.500 0.302 [4 per cell]

Total DFT energy (no corrections) ... -118.27 eV/cell

Th2Zn5Pt3 after structural relaxation. Source: Alexandria, functional GGA-PBE.

Lattice parameters (Å, degrees): 12.665 11.673 5.794 90.00 117.09 90.00
Space group C2/c (No. 15)
Symmetry-distinct sites (fractional):
Th 0.228 0.123 0.228 [8 per cell]
Zn 0.000 0.282 0.250 [4 per cell]
Zn 0.000 0.282 0.750 [4 per cell]
Zn 0.000 0.500 0.250 [4 per cell]
Zn 0.112 0.145 0.612 [8 per cell]
Pt 0.000 0.000 0.250 [4 per cell]
Pt 0.166 0.385 0.165 [8 per cell]

Total DFT energy (no corrections) ... -184.70 eV/cell

Th3Zn9Pt2 after structural relaxation. Source: Alexandria, functional GGA-PBE.

Lattice parameters (Å, degrees): 4.394 9.218 13.032 90.00 90.00 90.00
Space group Immm (No. 71)
Symmetry-distinct sites (fractional):
Th 0.000 0.000 0.000 [2 per cell]
Th 0.000 0.000 0.313 [4 per cell]
Zn 0.000 0.279 0.130 [8 per cell]
Zn 0.000 0.363 0.329 [8 per cell]
Zn 0.000 0.500 0.000 [2 per cell]
Pt 0.000 0.214 0.500 [4 per cell]

Total DFT energy (no corrections) ... -104.65 eV/cell

Th3Zn7Pt4 after structural relaxation. Source: Alexandria, functional GGA-PBE.

Lattice parameters (Å, degrees): 15.680 4.337 9.406 90.00 123.36 90.00
Space group C2/m (No. 12)
Symmetry-distinct sites (fractional):
Th 0.000 0.000 0.000 [2 per cell]
Th 0.202 0.500 0.705 [4 per cell]
Zn 0.000 0.000 0.500 [2 per cell]
Zn 0.004 0.500 0.312 [4 per cell]
Zn 0.141 0.000 0.421 [4 per cell]
Zn 0.175 0.500 0.013 [4 per cell]
Pt 0.117 0.000 0.833 [4 per cell]
Pt 0.155 0.500 0.271 [4 per cell]

Total DFT energy (no corrections) ... -130.73 eV/cell

ThZn4Pt2 after structural relaxation. Source: Alexandria, functional GGA-PBE.

Lattice parameters (Å, degrees): 7.709 7.709 4.195 90.00 90.00 90.00
Space group P4_2/mnm (No. 136)
Symmetry-distinct sites (fractional):
Th 0.000 0.000 0.000 [2 per cell]
Zn 0.094 0.350 0.500 [8 per cell]
Pt 0.210 0.790 0.500 [4 per cell]

Total DFT energy (no corrections) ... -58.54 eV/cell

no.,density of states at the Fermi level (states/eV/cell)
1,18.7
2,10.0
3,20.5
4,14.1
5,15.5
6,6.0